Record 1
First-principles (GGA-PBE) data for a geometry-optimized GdZrO3 structure, as listed in Alexandria.

Properties
The uncorrected formation energy comes out at -2853 meV per atom. Its calculated density is 6.8 g/cm3. Its total energy is -10.354 eV/atom.

a = 4.1685 Å, b = 4.1685 Å, c = 4.1685 Å
α = 90.00°, β = 90.00°, γ = 90.00°
Space group Pm-3m (No. 221)
One atom of each set of equivalent atoms:
Gd  0.0000  0.0000  0.0000
Zr  0.5000  0.5000  0.5000
O  0.0000  0.5000  0.5000

Record 2
First-principles (GGA-PBE) data for a geometry-optimized Gd2Zr2O7 structure, as listed in Alexandria.

Properties
The uncorrected formation energy comes out at -3320 meV per atom. Its calculated density is 6.7 g/cm3. Its total energy is -10.590 eV/atom.

a = 7.5832 Å, b = 7.5602 Å, c = 10.5922 Å
α = 90.00°, β = 90.00°, γ = 90.00°
Space group Pmna (No. 53)
One atom of each set of equivalent atoms:
Gd  0.0000  0.0000  0.0000
Gd  0.0000  0.5000  0.5000
Gd  0.2500  0.2391  0.2500
Zr  0.0000  0.0000  0.5000
Zr  0.0000  0.5000  0.0000
Zr  0.2500  0.2446  0.7500
O  0.0000  0.2415  0.3894
O  0.0000  0.2496  0.6676
O  0.0000  0.2593  0.1074
O  0.2125  0.4461  0.8796
O  0.2496  0.0214  0.6228

Record 3
First-principles (GGA-PBE) data for a geometry-optimized GdZr2O structure, as listed in Alexandria.

Properties
The uncorrected formation energy comes out at -944 meV per atom. Its calculated density is 7.1 g/cm3. Its total energy is -9.978 eV/atom.

a = 3.3505 Å, b = 3.3505 Å, c = 25.7505 Å
α = 90.00°, β = 90.00°, γ = 120.00°
Space group R-3m (No. 166, hexagonal axes)
One atom of each set of equivalent atoms:
Gd  0.0000  0.0000  0.0000
Zr  0.0000  0.0000  0.1193
O  0.0000  0.0000  0.5000

Record 4
First-principles (GGA-PBE) data for a geometry-optimized Gd2Zr2O7 structure, as listed in Alexandria.

Properties
The uncorrected formation energy comes out at -3133 meV per atom. Its calculated density is 6.9 g/cm3. Its total energy is -10.402 eV/atom.

a = 10.5416 Å, b = 10.5416 Å, c = 10.5416 Å
α = 90.00°, β = 90.00°, γ = 90.00°
Space group Fd-3m (No. 227, origin choice 2)
One atom of each set of equivalent atoms:
Gd  0.0000  0.0000  0.0000
Zr  0.0000  0.0000  0.5000
O  0.1238  0.3750  0.8750
O  0.1250  0.1250  0.6250

Record 5
First-principles (GGA-PBE) data for a geometry-optimized Gd2Zr2O7 structure, as listed in Alexandria.

Properties
The uncorrected formation energy comes out at -3224 meV per atom. Its calculated density is 6.8 g/cm3. Its total energy is -10.493 eV/atom.

a = 7.2562 Å, b = 7.6653 Å, c = 10.7031 Å
α = 90.00°, β = 90.00°, γ = 90.00°
Space group Imma (No. 74)
One atom of each set of equivalent atoms:
Gd  0.2500  0.2500  0.2500
Gd  0.2500  0.2500  0.7500
Zr  0.0000  0.0000  0.0000
Zr  0.0000  0.0000  0.5000
O  0.0000  0.2500  0.0784
O  0.0000  0.2500  0.3827
O  0.0000  0.2500  0.6214
O  0.2317  0.0151  0.8789

Record 6
First-principles (GGA-PBE) data for a geometry-optimized Gd3Os structure, as listed in Alexandria.

Properties
For the calculated formation energy, the calculation gives 0.150 eV/atom. Its calculated density is 10.5 g/cm3. Its total energy is -13.218 eV/atom.

a = 4.4056 Å, b = 4.5285 Å, c = 5.2591 Å
α = 90.00°, β = 90.00°, γ = 90.00°
Space group Pmm2 (No. 25)
One atom of each set of equivalent atoms:
Gd  0.0000  0.0000  0.0000
Gd  0.0000  0.5000  0.4797
Gd  0.5000  0.0000  0.4731
Os  0.5000  0.5000  0.1056

Record 7
First-principles (GGA-PBE) data for a geometry-optimized Gd3Os structure, as listed in Alexandria.

Properties
For the calculated formation energy, the calculation gives -0.087 eV/atom. Its calculated density is 10.4 g/cm3. Its total energy is -13.455 eV/atom.

a = 3.6046 Å, b = 11.1003 Å, c = 5.2736 Å
α = 90.00°, β = 90.00°, γ = 90.00°
Space group Imm2 (No. 44)
One atom of each set of equivalent atoms:
Gd  0.0000  0.0000  0.0000
Gd  0.0000  0.1968  0.5000
Os  0.0000  0.5000  0.9984

Record 8
First-principles (GGA-PBE) data for a geometry-optimized GdPa2Os structure, as listed in Alexandria.

Properties
For the calculated formation energy, the calculation gives 0.000 eV/atom. Its calculated density is 13.7 g/cm3. Its total energy is -11.076 eV/atom.

a = 3.6259 Å, b = 3.6259 Å, c = 7.4663 Å
α = 90.00°, β = 90.00°, γ = 90.00°
Space group P4/mmm (No. 123)
One atom of each set of equivalent atoms:
Gd  0.0000  0.0000  0.0000
Pa  0.5000  0.5000  0.3079
Os  0.0000  0.0000  0.5000

Record 9
First-principles (GGA-PBE) data for a geometry-optimized GdPa2Os structure, as listed in Alexandria.

Properties
For the calculated formation energy, the calculation gives 0.069 eV/atom. Its calculated density is 12.4 g/cm3. Its total energy is -11.007 eV/atom.

a = 3.7443 Å, b = 3.7443 Å, c = 26.7322 Å
α = 90.00°, β = 90.00°, γ = 120.00°
Space group R-3m (No. 166, hexagonal axes)
One atom of each set of equivalent atoms:
Gd  0.0000  0.0000  0.0000
Pa  0.0000  0.0000  0.2303
Os  0.0000  0.0000  0.5000

Record 10
First-principles (GGA-PBE) data for a geometry-optimized GdPaOs2 structure, as listed in Alexandria.

Properties
For the calculated formation energy, the calculation gives -0.163 eV/atom. Its calculated density is 15.6 g/cm3. Its total energy is -11.672 eV/atom.

a = 6.8907 Å, b = 6.8907 Å, c = 6.8907 Å
α = 90.00°, β = 90.00°, γ = 90.00°
Space group Fm-3m (No. 225)
One atom of each set of equivalent atoms:
Gd  0.0000  0.0000  0.0000
Pa  0.0000  0.0000  0.5000
Os  0.2500  0.2500  0.2500

Record 11
First-principles (GGA-PBE) data for a geometry-optimized GdPaOs4 structure, as listed in Alexandria.

Properties
For the calculated formation energy, the calculation gives -0.252 eV/atom. Its calculated density is 17.4 g/cm3. Its total energy is -11.668 eV/atom.

a = 7.5987 Å, b = 7.5987 Å, c = 7.5987 Å
α = 90.00°, β = 90.00°, γ = 90.00°
Space group F-43m (No. 216)
One atom of each set of equivalent atoms:
Gd  0.0000  0.0000  0.0000
Pa  0.2500  0.2500  0.2500
Os  0.1252  0.1252  0.6252

Record 12
First-principles (GGA-PBE) data for a geometry-optimized GdPaOs2 structure, as listed in Alexandria.

Properties
For the calculated formation energy, the calculation gives -0.239 eV/atom. Its calculated density is 15.4 g/cm3. Its total energy is -11.748 eV/atom.

a = 3.4932 Å, b = 3.4932 Å, c = 6.8066 Å
α = 90.00°, β = 90.00°, γ = 90.00°
Space group P4/mmm (No. 123)
One atom of each set of equivalent atoms:
Gd  0.0000  0.0000  0.0000
Pa  0.0000  0.0000  0.5000
Os  0.5000  0.5000  0.2766

Record 13
First-principles (GGA-PBE) data for a geometry-optimized GdPaOsPd structure, as listed in Alexandria.

Properties
For the calculated formation energy, the calculation gives -0.370 eV/atom. Its calculated density is 13.5 g/cm3. Its total energy is -10.370 eV/atom.

a = 6.9599 Å, b = 6.9599 Å, c = 6.9599 Å
α = 90.00°, β = 90.00°, γ = 90.00°
Space group F-43m (No. 216)
One atom of each set of equivalent atoms:
Gd  0.0000  0.0000  0.0000
Pa  0.0000  0.0000  0.5000
Os  0.2500  0.2500  0.2500
Pd  0.2500  0.2500  0.7500

Record 14
First-principles (GGA-PBE) data for a geometry-optimized GdPaOsPt structure, as listed in Alexandria.

Properties
For the calculated formation energy, the calculation gives -0.517 eV/atom. Its calculated density is 15.2 g/cm3. Its total energy is -10.729 eV/atom.

a = 6.9621 Å, b = 6.9621 Å, c = 6.9621 Å
α = 90.00°, β = 90.00°, γ = 90.00°
Space group F-43m (No. 216)
One atom of each set of equivalent atoms:
Gd  0.0000  0.0000  0.0000
Pa  0.0000  0.0000  0.5000
Os  0.2500  0.2500  0.2500
Pt  0.2500  0.2500  0.7500

Record 15
First-principles (GGA-PBE) data for a geometry-optimized GdPaReOs structure, as listed in Alexandria.

Properties
For the calculated formation energy, the calculation gives -0.008 eV/atom. Its calculated density is 15.4 g/cm3. Its total energy is -11.821 eV/atom.

a = 6.9053 Å, b = 6.9053 Å, c = 6.9053 Å
α = 90.00°, β = 90.00°, γ = 90.00°
Space group F-43m (No. 216)
One atom of each set of equivalent atoms:
Gd  0.0000  0.0000  0.0000
Pa  0.0000  0.0000  0.5000
Re  0.2500  0.2500  0.2500
Os  0.2500  0.2500  0.7500

Record 16
First-principles (GGA-PBE) data for a geometry-optimized GdPaOsRh structure, as listed in Alexandria.

Properties
For the calculated formation energy, the calculation gives -0.426 eV/atom. Its calculated density is 13.8 g/cm3. Its total energy is -10.966 eV/atom.

a = 6.8970 Å, b = 6.8970 Å, c = 6.8970 Å
α = 90.00°, β = 90.00°, γ = 90.00°
Space group F-43m (No. 216)
One atom of each set of equivalent atoms:
Gd  0.0000  0.0000  0.0000
Pa  0.0000  0.0000  0.5000
Os  0.2500  0.2500  0.7500
Rh  0.2500  0.2500  0.2500

Record 17
First-principles (GGA-PBE) data for a geometry-optimized GdPaOsRu structure, as listed in Alexandria.

Properties
For the calculated formation energy, the calculation gives -0.272 eV/atom. Its calculated density is 13.9 g/cm3. Its total energy is -11.293 eV/atom.

a = 6.8767 Å, b = 6.8767 Å, c = 6.8767 Å
α = 90.00°, β = 90.00°, γ = 90.00°
Space group F-43m (No. 216)
One atom of each set of equivalent atoms:
Gd  0.0000  0.0000  0.0000
Pa  0.0000  0.0000  0.5000
Os  0.2500  0.2500  0.7500
Ru  0.2500  0.2500  0.2500

Record 18
First-principles (GGA-PBE) data for a geometry-optimized GdPaZnOs structure, as listed in Alexandria.

Properties
For the calculated formation energy, the calculation gives -0.133 eV/atom. Its calculated density is 12.6 g/cm3. Its total energy is -9.153 eV/atom.

a = 6.9803 Å, b = 6.9803 Å, c = 6.9803 Å
α = 90.00°, β = 90.00°, γ = 90.00°
Space group F-43m (No. 216)
One atom of each set of equivalent atoms:
Gd  0.0000  0.0000  0.0000
Pa  0.0000  0.0000  0.5000
Zn  0.2500  0.2500  0.7500
Os  0.2500  0.2500  0.2500

Record 19
First-principles (GGA-PBE) data for a geometry-optimized Gd3OsPb structure, as listed in Alexandria.

Properties
For the calculated formation energy, the calculation gives -0.184 eV/atom. Its calculated density is 9.2 g/cm3. Its total energy is -11.620 eV/atom.

a = 5.3905 Å, b = 5.3905 Å, c = 5.3905 Å
α = 90.00°, β = 90.00°, γ = 90.00°
Space group Pm-3m (No. 221)
One atom of each set of equivalent atoms:
Gd  0.0000  0.0000  0.5000
Os  0.0000  0.0000  0.0000
Pb  0.5000  0.5000  0.5000

Record 20
First-principles (GGA-PBE) data for a geometry-optimized Gd2OsPb structure, as listed in Alexandria.

Properties
For the calculated formation energy, the calculation gives -0.348 eV/atom. Its calculated density is 11.8 g/cm3. Its total energy is -11.123 eV/atom.

a = 3.4147 Å, b = 3.4147 Å, c = 8.5841 Å
α = 90.00°, β = 90.00°, γ = 90.00°
Space group P4/mmm (No. 123)
One atom of each set of equivalent atoms:
Gd  0.0000  0.0000  0.1978
Os  0.5000  0.5000  0.0000
Pb  0.5000  0.5000  0.5000